Density functional theory data (PBE-GGA) for a relaxed structure of RbSrNpO4.

Cell lengths 4.398, 4.398, 13.042 Å; angles 90.00, 90.00, 90.00 degrees
Space group I4mm (No. 107)
Asymmetric unit:
Rb (0.000, 0.000, 0.000) x2
Sr (0.000, 0.000, 0.291) x2
Np (0.000, 0.000, 0.645) x2
O (0.000, 0.000, 0.488) x2
O (0.000, 0.000, 0.800) x2
O (0.000, 0.500, 0.162) x4

## Properties
Spin magnetization ... 2.00 μB/f.u.
Raw formation energy ... -2.663 eV per atom

Density functional theory data (PBE-GGA) for a relaxed structure of Tb2Cd3Au.

Cell lengths 3.426, 4.921, 8.494 Å; angles 90.00, 90.00, 90.00 degrees
Space group Pmm2 (No. 25)
Asymmetric unit:
Tb (0.000, 0.000, 0.000) x1
Tb (0.000, 0.500, 0.460) x1
Cd (0.500, 0.000, 0.646) x1
Cd (0.500, 0.500, 0.141) x1
Cd (0.500, 0.500, 0.807) x1
Au (0.500, 0.000, 0.312) x1

## Properties
Spin magnetization ... 0.00 μB/f.u.
DFT formation energy ... -0.45 eV per atom